[1]
DFT (PBE-GGA) results for NbPdRh3 after structural relaxation.

```
data_NbPdRh3
_chemical_formula_sum 'Nb1 Pd1 Rh3'
_cell_length_a 4.676
_cell_length_b 4.676
_cell_length_c 4.676
_cell_angle_alpha 90.00
_cell_angle_beta 90.00
_cell_angle_gamma 90.00
_space_group_name_H-M_alt 'P 1'
_space_group_IT_number 1
loop_
_space_group_symop_operation_xyz
'x,y,z'
loop_
_atom_site_label
_atom_site_fract_x
_atom_site_fract_y
_atom_site_fract_z
_atom_site_occupancy
Rh1 0.000 0.000 0.500 1
Pd1 0.500 0.500 0.500 1
Nb1 0.000 0.000 0.000 1
Rh2 0.500 0.000 0.000 1
Rh3 0.000 0.500 0.000 1
```

Calculated values
E_form in meV/atom: 1037
E_tot in eV per atom: -6.43

---

[2]
DFT (PBE-GGA) results for Nb5PdRh4 after structural relaxation.

```
data_Nb5PdRh4
_chemical_formula_sum 'Nb5 Pd1 Rh4'
_cell_length_a 2.867
_cell_length_b 2.867
_cell_length_c 19.619
_cell_angle_alpha 90.00
_cell_angle_beta 90.00
_cell_angle_gamma 90.00
_space_group_name_H-M_alt 'P 1'
_space_group_IT_number 1
loop_
_space_group_symop_operation_xyz
'x,y,z'
loop_
_atom_site_label
_atom_site_fract_x
_atom_site_fract_y
_atom_site_fract_z
_atom_site_occupancy
Nb1 0.500 0.500 0.105 1
Nb2 0.500 0.500 0.698 1
Nb3 0.500 0.500 0.500 1
Pd1 0.000 0.000 0.000 1
Rh1 0.000 0.000 0.401 1
Nb4 0.500 0.500 0.895 1
Nb5 0.500 0.500 0.302 1
Rh2 0.000 0.000 0.798 1
Rh3 0.000 0.000 0.202 1
Rh4 0.000 0.000 0.599 1
```

Calculated values
E_form in meV/atom: -388
E_tot in eV per atom: -8.88

---

[3]
DFT (PBE-GGA) results for Nb3PdRh after structural relaxation.

```
data_Nb3PdRh
_chemical_formula_sum 'Nb3 Pd1 Rh1'
_cell_length_a 4.784
_cell_length_b 4.784
_cell_length_c 4.784
_cell_angle_alpha 90.00
_cell_angle_beta 90.00
_cell_angle_gamma 90.00
_space_group_name_H-M_alt 'P 1'
_space_group_IT_number 1
loop_
_space_group_symop_operation_xyz
'x,y,z'
loop_
_atom_site_label
_atom_site_fract_x
_atom_site_fract_y
_atom_site_fract_z
_atom_site_occupancy
Rh1 0.500 0.500 0.500 1
Pd1 0.000 0.000 0.000 1
Nb1 0.000 0.500 0.000 1
Nb2 0.500 0.000 0.000 1
Nb3 0.000 0.000 0.500 1
```

Calculated values
E_form in meV/atom: 1394
E_tot in eV per atom: -7.16

---

[4]
DFT (PBE-GGA) results for Nb7Pd12Rh after structural relaxation.

```
data_Nb7Pd12Rh
_chemical_formula_sum 'Nb7 Pd12 Rh1'
_cell_length_a 7.363
_cell_length_b 7.363
_cell_length_c 7.363
_cell_angle_alpha 107.08
_cell_angle_beta 107.08
_cell_angle_gamma 107.08
_space_group_name_H-M_alt 'P 1'
_space_group_IT_number 1
loop_
_space_group_symop_operation_xyz
'x,y,z'
loop_
_atom_site_label
_atom_site_fract_x
_atom_site_fract_y
_atom_site_fract_z
_atom_site_occupancy
Pd1 0.181 0.629 0.512 1
Pd2 0.371 0.488 0.819 1
Pd3 0.488 0.819 0.371 1
Nb1 0.883 0.788 0.577 1
Pd4 0.629 0.512 0.181 1
Pd5 0.819 0.275 0.085 1
Nb2 0.212 0.423 0.117 1
Pd6 0.725 0.915 0.181 1
Nb3 0.500 0.500 0.500 1
Nb4 0.117 0.212 0.423 1
Pd7 0.181 0.725 0.915 1
Rh1 0.000 0.000 0.000 1
Nb5 0.788 0.577 0.883 1
Pd8 0.275 0.085 0.819 1
Nb6 0.423 0.117 0.212 1
Nb7 0.577 0.883 0.788 1
Pd9 0.819 0.371 0.488 1
Pd10 0.915 0.181 0.725 1
Pd11 0.512 0.181 0.629 1
Pd12 0.085 0.819 0.275 1
```

Calculated values
E_form in meV/atom: -244
E_tot in eV per atom: -7.25

---

[5]
DFT (PBE-GGA) results for Nb3PdRh4 after structural relaxation.

```
data_Nb3PdRh4
_chemical_formula_sum 'Nb6 Pd2 Rh8'
_cell_length_a 4.858
_cell_length_b 5.696
_cell_length_c 9.027
_cell_angle_alpha 90.00
_cell_angle_beta 90.00
_cell_angle_gamma 90.00
_space_group_name_H-M_alt 'P 1'
_space_group_IT_number 1
loop_
_space_group_symop_operation_xyz
'x,y,z'
loop_
_atom_site_label
_atom_site_fract_x
_atom_site_fract_y
_atom_site_fract_z
_atom_site_occupancy
Nb1 0.667 0.500 0.750 1
Rh1 0.500 0.251 0.000 1
Rh2 0.847 0.743 0.250 1
Nb2 0.000 0.000 0.000 1
Rh3 0.500 0.251 0.500 1
Nb3 0.633 0.000 0.750 1
Nb4 0.000 0.000 0.500 1
Rh4 0.500 0.749 0.000 1
Rh5 0.500 0.749 0.500 1
Nb5 0.367 0.000 0.250 1
Rh6 0.153 0.257 0.750 1
Pd1 0.000 0.500 0.500 1
Rh7 0.153 0.743 0.750 1
Nb6 0.333 0.500 0.250 1
Pd2 0.000 0.500 0.000 1
Rh8 0.847 0.257 0.250 1
```

Calculated values
E_form in meV/atom: -418
E_tot in eV per atom: -8.52

---

[6]
DFT (PBE-GGA) results for Nb2PdRh2 after structural relaxation.

```
data_Nb2PdRh2
_chemical_formula_sum 'Nb4 Pd2 Rh4'
_cell_length_a 2.820
_cell_length_b 4.511
_cell_length_c 12.752
_cell_angle_alpha 90.02
_cell_angle_beta 90.00
_cell_angle_gamma 90.00
_space_group_name_H-M_alt 'P 1'
_space_group_IT_number 1
loop_
_space_group_symop_operation_xyz
'x,y,z'
loop_
_atom_site_label
_atom_site_fract_x
_atom_site_fract_y
_atom_site_fract_z
_atom_site_occupancy
Nb1 0.750 0.750 0.057 1
Rh1 0.250 0.750 0.850 1
Rh2 0.750 0.750 0.460 1
Rh3 0.250 0.250 0.540 1
Rh4 0.750 0.250 0.150 1
Nb2 0.250 0.750 0.647 1
Nb3 0.750 0.250 0.353 1
Nb4 0.250 0.250 0.943 1
Pd1 0.750 0.250 0.742 1
Pd2 0.250 0.750 0.258 1
```

Calculated values
E_form in meV/atom: -243
E_tot in eV per atom: -8.25

---

[7]
DFT (PBE-GGA) results for Nb3Pd2Rh2 after structural relaxation.

```
data_Nb3Pd2Rh2
_chemical_formula_sum 'Nb3 Pd2 Rh2'
_cell_length_a 4.148
_cell_length_b 2.822
_cell_length_c 9.935
_cell_angle_alpha 90.00
_cell_angle_beta 77.95
_cell_angle_gamma 90.00
_space_group_name_H-M_alt 'P 1'
_space_group_IT_number 1
loop_
_space_group_symop_operation_xyz
'x,y,z'
loop_
_atom_site_label
_atom_site_fract_x
_atom_site_fract_y
_atom_site_fract_z
_atom_site_occupancy
Pd1 0.571 0.500 0.859 1
Nb1 0.845 0.000 0.309 1
Rh1 0.709 0.500 0.582 1
Nb2 0.155 0.000 0.691 1
Pd2 0.429 0.500 0.141 1
Rh2 0.291 0.500 0.418 1
Nb3 0.000 0.000 0.000 1
```

Calculated values
E_form in meV/atom: -279
E_tot in eV per atom: -8.18

---

[8]
DFT (PBE-GGA) results for Nb2PdRh2 after structural relaxation.

```
data_Nb2PdRh2
_chemical_formula_sum 'Nb2 Pd1 Rh2'
_cell_length_a 4.034
_cell_length_b 4.957
_cell_length_c 4.804
_cell_angle_alpha 79.84
_cell_angle_beta 65.18
_cell_angle_gamma 65.99
_space_group_name_H-M_alt 'P 1'
_space_group_IT_number 1
loop_
_space_group_symop_operation_xyz
'x,y,z'
loop_
_atom_site_label
_atom_site_fract_x
_atom_site_fract_y
_atom_site_fract_z
_atom_site_occupancy
Nb1 0.577 0.634 0.211 1
Rh1 0.800 0.790 0.611 1
Nb2 0.423 0.366 0.789 1
Pd1 0.000 0.000 0.000 1
Rh2 0.200 0.210 0.389 1
```

Calculated values
E_form in meV/atom: -371
E_tot in eV per atom: -8.38

---

[9]
DFT (PBE-GGA) results for Nb2PdRh2 after structural relaxation.

```
data_Nb2PdRh2
_chemical_formula_sum 'Nb4 Pd2 Rh4'
_cell_length_a 7.686
_cell_length_b 7.686
_cell_length_c 2.870
_cell_angle_alpha 90.00
_cell_angle_beta 90.00
_cell_angle_gamma 90.00
_space_group_name_H-M_alt 'P 1'
_space_group_IT_number 1
loop_
_space_group_symop_operation_xyz
'x,y,z'
loop_
_atom_site_label
_atom_site_fract_x
_atom_site_fract_y
_atom_site_fract_z
_atom_site_occupancy
Nb1 0.343 0.843 0.000 1
Pd1 0.500 0.500 0.000 1
Nb2 0.657 0.157 0.000 1
Pd2 0.000 0.000 0.000 1
Nb3 0.157 0.343 0.000 1
Rh1 0.138 0.638 0.500 1
Nb4 0.843 0.657 0.000 1
Rh2 0.862 0.362 0.500 1
Rh3 0.362 0.138 0.500 1
Rh4 0.638 0.862 0.500 1
```

Calculated values
E_form in meV/atom: -183
E_tot in eV per atom: -8.19

---

[10]
DFT (PBE-GGA) results for Nb2Pd3Rh2 after structural relaxation.

```
data_Nb2Pd3Rh2
_chemical_formula_sum 'Nb2 Pd3 Rh2'
_cell_length_a 2.798
_cell_length_b 2.817
_cell_length_c 14.863
_cell_angle_alpha 90.00
_cell_angle_beta 84.64
_cell_angle_gamma 90.00
_space_group_name_H-M_alt 'P 1'
_space_group_IT_number 1
loop_
_space_group_symop_operation_xyz
'x,y,z'
loop_
_atom_site_label
_atom_site_fract_x
_atom_site_fract_y
_atom_site_fract_z
_atom_site_occupancy
Pd1 0.000 0.000 0.000 1
Nb1 0.860 0.500 0.283 1
Nb2 0.140 0.500 0.717 1
Pd2 0.709 0.000 0.581 1
Pd3 0.291 0.000 0.419 1
Rh1 0.578 0.000 0.843 1
Rh2 0.422 0.000 0.157 1
```

Calculated values
E_form in meV/atom: -124
E_tot in eV per atom: -7.33

---

Question: What is the E_tot in the seventh record?
Answer: -8.18 eV per atom